Compound: UGe3
Source: the Alexandria database
Functional: PBE
Structure: optimized geometry

- uncorrected energy (eV/atom) = -6.3375
- density (g/cm³) = 9.72
- D(E_F) (states/eV/cell) = 7.89

abc: 2.917 10.108 5.286
angles: 90.00 90.00 90.00
Space group Imm2 (No. 44)
One atom of each set of equivalent atoms:
U1 0.000 0.000 0.000 [2 per cell]
Ge1 0.000 0.254 0.307 [4 per cell]
Ge2 0.000 0.500 0.994 [2 per cell]


Compound: UVGe
Source: the Alexandria database
Functional: PBE
Structure: optimized geometry

- uncorrected energy (eV/atom) = -7.9551
- density (g/cm³) = 10.44
- D(E_F) (states/eV/cell) = 11.89

abc: 3.584 3.584 8.955
angles: 90.00 90.00 90.00
Space group I4mm (No. 107)
One atom of each set of equivalent atoms:
U1 0.000 0.000 0.000 [2 per cell]
V1 0.000 0.000 0.405 [2 per cell]
Ge1 0.000 0.000 0.688 [2 per cell]


Compound: UVGe2
Source: the Alexandria database
Functional: PBE
Structure: optimized geometry

- uncorrected energy (eV/atom) = -7.4837
- density (g/cm³) = 10.14
- D(E_F) (states/eV/cell) = 7.15
- energy above the lowest structure with this stoichiometry (meV per atom) = 0

abc: 3.350 3.350 6.333
angles: 90.00 90.00 90.00
Space group P4/mmm (No. 123)
One atom of each set of equivalent atoms:
U1 0.000 0.000 0.000 [1 per cell]
V1 0.000 0.000 0.500 [1 per cell]
Ge1 0.500 0.500 0.297 [2 per cell]


Compound: UV2Ge
Source: the Alexandria database
Functional: PBE
Structure: optimized geometry

- uncorrected energy (eV/atom) = -8.6387
- density (g/cm³) = 10.95
- D(E_F) (states/eV/cell) = 7.29
- energy above the lowest structure with this stoichiometry (meV per atom) = 0

abc: 4.289 4.289 3.401
angles: 90.00 90.00 90.00
Space group P4/mmm (No. 123)
One atom of each set of equivalent atoms:
U1 0.000 0.000 0.000 [1 per cell]
V1 0.000 0.500 0.500 [2 per cell]
Ge1 0.500 0.500 0.000 [1 per cell]


Compound: UVGe2
Source: the Alexandria database
Functional: PBE
Structure: optimized geometry

- uncorrected energy (eV/atom) = -7.2475
- density (g/cm³) = 10.09
- D(E_F) (states/eV/cell) = 15.03
- energy above the lowest structure with this stoichiometry (meV per atom) = 236

abc: 2.8541 2.8541 30.4000
angles: 90.00 90.00 120.00
Space group R-3m (No. 166, hexagonal axes)
One atom of each set of equivalent atoms:
U1 0.0000 0.0000 0.0000 [3 per cell]
V1 0.0000 0.0000 0.5000 [3 per cell]
Ge1 0.0000 0.0000 0.0974 [6 per cell]


Compound: UV2Ge
Source: the Alexandria database
Functional: PBE
Structure: optimized geometry

- uncorrected energy (eV/atom) = -8.5504
- density (g/cm³) = 10.96
- D(E_F) (states/eV/cell) = 18.63
- energy above the lowest structure with this stoichiometry (meV per atom) = 88

abc: 6.300 6.300 6.300
angles: 90.00 90.00 90.00
Space group Fm-3m (No. 225)
One atom of each set of equivalent atoms:
U1 0.000 0.000 0.000 [4 per cell]
V1 0.250 0.250 0.250 [8 per cell]
Ge1 0.000 0.000 0.500 [4 per cell]


Compound: UVGe
Source: the Alexandria database
Functional: PBE
Structure: optimized geometry

- uncorrected energy (eV/atom) = -8.3312
- density (g/cm³) = 11.41
- D(E_F) (states/eV/cell) = 4.84

abc: 4.5727 4.5727 2.9072
angles: 90.00 90.00 120.00
Space group P-6m2 (No. 187)
One atom of each set of equivalent atoms:
U1 0.0000 0.0000 0.0000 [1 per cell]
V1 0.6667 0.3333 0.5000 [1 per cell]
Ge1 0.3333 0.6667 0.5000 [1 per cell]


Compound: YUGe2
Source: the Alexandria database
Functional: PBE
Structure: optimized geometry

- uncorrected energy (eV/atom) = -7.1416
- density (g/cm³) = 7.93
- D(E_F) (states/eV/cell) = 18.56

abc: 4.1495 4.1495 19.8944
angles: 90.00 90.00 120.00
Space group R-3m (No. 166, hexagonal axes)
One atom of each set of equivalent atoms:
Y1 0.0000 0.0000 0.0000 [3 per cell]
U1 0.0000 0.0000 0.5000 [3 per cell]
Ge1 0.0000 0.0000 0.2447 [6 per cell]